No. 1
First-principles (PBE) data for Ce4Zn5Ir2 after structural relaxation, as listed in the Alexandria database.

## Properties
The formation energy comes out at -9.0 kcal/mol of atoms. The calculation puts the energy at -4.7384 eV/atom.

```
data_Ce4Zn5Ir2
_space_group_name_H-M_alt 'P 1 2/m 1'
_space_group_IT_number 10
_space_group_name_Hall '-P 2y'
_cell_length_a 7.085
_cell_length_b 3.731
_cell_length_c 9.239
_cell_angle_alpha 90.00
_cell_angle_beta 94.25
_cell_angle_gamma 90.00
loop_
_atom_site_label
_atom_site_fract_x
_atom_site_fract_y
_atom_site_fract_z
Ce1 0.166 0.000 0.367
Ce2 0.245 0.000 0.948
Zn1 0.207 0.500 0.657
Zn2 0.449 0.500 0.202
Zn3 0.500 0.500 0.500
Ir1 0.069 0.500 0.152
```

***

No. 2
First-principles (PBE) data for Tl2Te5As2 after structural relaxation, as listed in the Alexandria database.

## Properties
The calculation puts the energy at -3.3661 eV/atom. The value obtained for the raw formation energy is -54 kJ/mol of formula units.

```
data_Tl2Te5As2
_space_group_name_H-M_alt 'P -1'
_space_group_IT_number 2
_space_group_name_Hall '-P 1'
_cell_length_a 5.906
_cell_length_b 7.663
_cell_length_c 8.613
_cell_angle_alpha 111.73
_cell_angle_beta 108.85
_cell_angle_gamma 91.09
loop_
_atom_site_label
_atom_site_fract_x
_atom_site_fract_y
_atom_site_fract_z
Tl1 0.054 0.302 0.094
Te1 0.209 0.794 0.362
Te2 0.410 0.884 0.807
Te3 0.500 0.500 0.000
As1 0.364 0.152 0.676
```

***

No. 3
First-principles (PBE) data for Ti3BiMo after structural relaxation, as listed in the Alexandria database.

## Properties
The formation energy comes out at 13.2 kcal/mol of atoms. The calculation puts the energy at -7.1057 eV/atom.

```
data_Ti3BiMo
_space_group_name_H-M_alt 'P m -3 m'
_space_group_IT_number 221
_space_group_name_Hall '-P 4 2 3'
_cell_length_a 4.799
_cell_length_b 4.799
_cell_length_c 4.799
_cell_angle_alpha 90.00
_cell_angle_beta 90.00
_cell_angle_gamma 90.00
loop_
_atom_site_label
_atom_site_fract_x
_atom_site_fract_y
_atom_site_fract_z
Ti1 0.000 0.000 0.500
Bi1 0.500 0.500 0.500
Mo1 0.000 0.000 0.000
```

***

No. 4
First-principles (PBE) data for YCuGe after structural relaxation, as listed in the Alexandria database.

## Properties
The formation energy comes out at -10.3 kcal/mol of atoms. The calculation puts the energy at -5.5055 eV/atom.

```
data_YCuGe
_space_group_name_H-M_alt 'P 1'
_space_group_IT_number 1
_space_group_name_Hall 'P 1'
_cell_length_a 4.061
_cell_length_b 5.422
_cell_length_c 5.697
_cell_angle_alpha 93.36
_cell_angle_beta 90.21
_cell_angle_gamma 111.88
loop_
_atom_site_label
_atom_site_fract_x
_atom_site_fract_y
_atom_site_fract_z
Y1 0.000 0.000 0.000
Y2 0.389 0.774 0.462
Cu1 0.101 0.199 0.523
Cu2 0.696 0.387 0.742
Ge1 0.291 0.579 0.934
Ge2 0.680 0.359 0.269
```